No. 1
# BaZn3Ir

Crystalline BaZn3Ir at its relaxed geometry (PBE, Alexandria via LeMat-Bulk).

Summary:
**Polymorph energy (0 for the lowest one)**: 2.128 eV per atom

```
BaZn3Ir
1.0
6.105 0.000 0.000
0.000 6.105 0.000
0.000 0.000 6.105
Ba Zn Ir
1 3 1
Direct
0.000 0.000 0.000
0.000 0.000 0.500
0.000 0.500 0.000
0.500 0.000 0.000
0.500 0.500 0.500
```

***

No. 2
# BaZn3Ir

Crystalline BaZn3Ir at its relaxed geometry (PBE, Alexandria via LeMat-Bulk).

Summary:
**Polymorph energy (0 for the lowest one)**: 0.119 eV per atom

```
BaZn3Ir
1.0
5.101 0.000 0.000
0.000 6.471 0.000
-0.715 0.000 7.248
Ba Zn Ir
2 6 2
Direct
0.187 0.250 0.137
0.813 0.750 0.863
0.254 0.546 0.552
0.254 0.954 0.552
0.464 0.750 0.266
0.536 0.250 0.734
0.746 0.046 0.448
0.746 0.454 0.448
0.028 0.250 0.700
0.972 0.750 0.300
```

***

No. 3
# BaZn3Ir

Crystalline BaZn3Ir at its relaxed geometry (PBE, Alexandria via LeMat-Bulk).

Summary:
**Polymorph energy (0 for the lowest one)**: 0.283 eV per atom

```
BaZn3Ir
1.0
3.511 -6.622 0.000
3.511 6.622 0.000
0.000 0.000 4.765
Ba Zn Ir
2 6 2
Direct
0.089 0.911 0.750
0.911 0.089 0.250
0.080 0.580 0.250
0.420 0.920 0.250
0.500 0.500 0.000
0.500 0.500 0.500
0.580 0.080 0.750
0.920 0.420 0.750
0.328 0.672 0.750
0.672 0.328 0.250
```

***

No. 4
# Ba2Zn4Ir

Crystalline Ba2Zn4Ir at its relaxed geometry (PBE, Alexandria via LeMat-Bulk).

Summary:
**Polymorph energy (0 for the lowest one)**: 0.000 eV per atom

```
Ba2Zn4Ir
1.0
-2.472 2.472 8.414
2.472 -2.472 8.414
2.472 2.472 -8.414
Ba Zn Ir
2 4 1
Direct
0.144 0.144 0.000
0.856 0.856 0.000
0.000 0.500 0.500
0.355 0.355 0.000
0.500 0.000 0.500
0.645 0.645 0.000
0.500 0.500 0.000
```

***

No. 5
# BaZn3Ir

Crystalline BaZn3Ir at its relaxed geometry (PBE, Alexandria via LeMat-Bulk).

Summary:
**Polymorph energy (0 for the lowest one)**: 0.246 eV per atom

```
BaZn3Ir
1.0
8.584 -2.015 0.000
8.584 2.015 0.000
-1.420 0.000 6.744
Ba Zn Ir
2 6 2
Direct
0.102 0.102 0.176
0.898 0.898 0.824
0.067 0.067 0.652
0.237 0.237 0.864
0.294 0.294 0.445
0.706 0.706 0.555
0.763 0.763 0.136
0.933 0.933 0.348
0.362 0.362 0.161
0.638 0.638 0.839
```

***

No. 6
# BaZn3Ir

Crystalline BaZn3Ir at its relaxed geometry (PBE, Alexandria via LeMat-Bulk).

Summary:
**Polymorph energy (0 for the lowest one)**: 0.135 eV per atom

```
BaZn3Ir
1.0
6.440 0.000 0.000
-0.162 6.717 0.000
-2.799 -3.336 5.236
Ba Zn Ir
2 6 2
Direct
0.000 0.000 0.000
0.097 0.351 0.715
0.396 0.835 0.686
0.539 0.996 0.449
0.553 0.460 0.615
0.579 0.160 0.177
0.583 0.580 0.324
0.984 0.640 0.298
0.615 0.290 0.895
0.617 0.754 0.071
```

***

No. 7
# BaZn3Ir

Crystalline BaZn3Ir at its relaxed geometry (PBE, Alexandria via LeMat-Bulk).

Summary:
**Polymorph energy (0 for the lowest one)**: 0.123 eV per atom

```
BaZn3Ir
1.0
6.425 0.000 0.000
3.133 6.036 0.000
3.211 -1.299 5.886
Ba Zn Ir
2 6 2
Direct
0.000 0.000 0.000
0.268 0.500 0.482
0.270 0.361 0.983
0.300 0.002 0.317
0.625 0.888 0.864
0.638 0.821 0.484
0.669 0.484 0.815
0.765 0.114 0.598
0.745 0.623 0.110
0.897 0.377 0.368
```

***

No. 8
# BaZn3Ir

Crystalline BaZn3Ir at its relaxed geometry (PBE, Alexandria via LeMat-Bulk).

Summary:
**Polymorph energy (0 for the lowest one)**: 0.196 eV per atom

```
BaZn3Ir
1.0
5.772 -6.354 0.000
5.772 6.354 0.000
-0.091 0.000 6.054
Ba Zn Ir
4 12 4
Direct
0.058 0.288 0.414
0.288 0.058 0.914
0.712 0.942 0.086
0.942 0.712 0.586
0.098 0.723 0.089
0.180 0.454 0.943
0.277 0.902 0.411
0.378 0.450 0.599
0.450 0.378 0.099
0.454 0.180 0.443
0.546 0.820 0.557
0.550 0.622 0.901
0.622 0.550 0.401
0.723 0.098 0.589
0.820 0.546 0.057
0.902 0.277 0.911
0.292 0.708 0.750
0.357 0.643 0.250
0.643 0.357 0.750
0.708 0.292 0.250
```

***

No. 9
# BaZn2Ir2

Crystalline BaZn2Ir2 at its relaxed geometry (PBE, Alexandria via LeMat-Bulk).

Summary:
**Polymorph energy (0 for the lowest one)**: 0.220 eV per atom

```
BaZn2Ir2
1.0
7.851 0.000 0.000
0.000 7.851 0.000
0.000 0.000 2.988
Ba Zn Ir
2 4 4
Direct
0.000 0.000 0.000
0.500 0.500 0.000
0.145 0.355 0.500
0.355 0.855 0.500
0.645 0.145 0.500
0.855 0.645 0.500
0.142 0.642 0.000
0.358 0.142 0.000
0.642 0.858 0.000
0.858 0.358 0.000
```

***

No. 10
# BaZn2Ir

Crystalline BaZn2Ir at its relaxed geometry (PBE, Alexandria via LeMat-Bulk).

```
BaZn2Ir
1.0
3.126 0.000 0.000
0.000 3.640 0.000
0.000 0.000 7.362
Ba Zn Ir
1 2 1
Direct
0.000 0.000 0.000
0.500 0.500 0.331
0.500 0.500 0.669
0.000 0.000 0.500
```

***

No. 11
# BaZn2Ir

Crystalline BaZn2Ir at its relaxed geometry (PBE, Alexandria via LeMat-Bulk).

```
BaZn2Ir
1.0
3.343 0.000 0.000
0.000 4.359 0.000
-1.541 0.000 6.174
Ba Zn Ir
1 2 1
Direct
0.000 0.000 0.000
0.314 0.500 0.666
0.686 0.500 0.334
0.500 0.000 0.500
```

***

No. 12
# BaZn2Ir

Crystalline BaZn2Ir at its relaxed geometry (PBE, Alexandria via LeMat-Bulk).

```
BaZn2Ir
1.0
4.174 0.000 0.000
0.000 4.173 0.000
-0.013 0.000 6.170
Ba Zn Ir
1 2 1
Direct
0.000 0.000 0.000
0.499 0.000 0.522
0.999 0.500 0.522
0.499 0.500 0.741
```

***

No. 13
# BaZn3Ir

Crystalline BaZn3Ir at its relaxed geometry (PBE, Alexandria via LeMat-Bulk).

Summary:
**Polymorph energy (0 for the lowest one)**: 0.000 eV per atom

```
BaZn3Ir
1.0
-3.385 4.853 3.552
3.385 -4.853 3.552
3.385 4.853 -3.552
Ba Zn Ir
2 6 2
Direct
0.326 0.076 0.250
0.674 0.924 0.750
0.187 0.437 0.750
0.215 0.000 0.715
0.215 0.500 0.215
0.785 0.000 0.285
0.785 0.500 0.785
0.813 0.563 0.250
0.000 0.500 0.500
0.500 0.500 0.000
```

***

No. 14
# BaZn3Ir

Crystalline BaZn3Ir at its relaxed geometry (PBE, Alexandria via LeMat-Bulk).

Summary:
**Polymorph energy (0 for the lowest one)**: 0.250 eV per atom

```
BaZn3Ir
1.0
7.184 -2.427 0.000
7.184 2.427 0.000
-1.533 0.000 6.767
Ba Zn Ir
2 6 2
Direct
0.170 0.170 0.303
0.830 0.830 0.697
0.165 0.165 0.836
0.411 0.411 0.410
0.473 0.473 0.820
0.527 0.527 0.180
0.589 0.589 0.590
0.835 0.835 0.164
0.346 0.346 0.040
0.654 0.654 0.960
```

***

No. 15
# BaZn3Ir

Crystalline BaZn3Ir at its relaxed geometry (PBE, Alexandria via LeMat-Bulk).

Summary:
**Polymorph energy (0 for the lowest one)**: 0.376 eV per atom

```
BaZn3Ir
1.0
3.699 0.000 0.000
0.000 3.699 0.000
0.000 0.000 7.912
Ba Zn Ir
1 3 1
Direct
0.000 0.000 0.000
0.000 0.000 0.626
0.000 0.500 0.385
0.500 0.000 0.385
0.500 0.500 0.647
```

***

No. 16
# BaZn3Ir

Crystalline BaZn3Ir at its relaxed geometry (PBE, Alexandria via LeMat-Bulk).

Summary:
**Polymorph energy (0 for the lowest one)**: 0.365 eV per atom

```
BaZn3Ir
1.0
4.856 0.000 0.000
-2.428 4.205 0.000
0.000 0.000 10.240
Ba Zn Ir
2 6 2
Direct
0.333 0.667 0.250
0.667 0.333 0.750
0.000 0.000 0.250
0.000 0.000 0.750
0.333 0.667 0.555
0.333 0.667 0.945
0.667 0.333 0.055
0.667 0.333 0.445
0.000 0.000 0.000
0.000 0.000 0.500
```

***

No. 17
# BaZn3Ir

Crystalline BaZn3Ir at its relaxed geometry (PBE, Alexandria via LeMat-Bulk).

Summary:
**Polymorph energy (0 for the lowest one)**: 0.335 eV per atom

```
BaZn3Ir
1.0
0.000 6.669 6.669
6.669 0.000 6.669
6.669 6.669 0.000
Ba Zn Ir
4 12 4
Direct
0.000 0.000 0.000
0.000 0.000 0.500
0.000 0.500 0.000
0.500 0.000 0.000
0.207 0.207 0.543
0.207 0.543 0.207
0.207 0.543 0.543
0.457 0.457 0.793
0.457 0.793 0.457
0.457 0.793 0.793
0.543 0.207 0.207
0.543 0.207 0.543
0.543 0.543 0.207
0.793 0.457 0.457
0.793 0.457 0.793
0.793 0.793 0.457
0.000 0.500 0.500
0.500 0.000 0.500
0.500 0.500 0.000
0.500 0.500 0.500
```

***

No. 18
# BaZnIr

Crystalline BaZnIr at its relaxed geometry (PBE, Alexandria via LeMat-Bulk).

```
BaZnIr
1.0
0.000 3.602 3.602
3.602 0.000 3.602
3.602 3.602 0.000
Ba Zn Ir
1 1 1
Direct
0.000 0.000 0.000
0.750 0.750 0.750
0.250 0.250 0.250
```

***

No. 19
# BaZn2Ir

Crystalline BaZn2Ir at its relaxed geometry (PBE, Alexandria via LeMat-Bulk).

```
BaZn2Ir
1.0
4.384 0.000 0.000
0.000 4.384 0.000
0.000 0.000 4.708
Ba Zn Ir
1 2 1
Direct
0.000 0.000 0.000
0.000 0.500 0.500
0.500 0.000 0.500
0.500 0.500 0.000
```

***

No. 20
# BaZn2Ir

Crystalline BaZn2Ir at its relaxed geometry (PBE, Alexandria via LeMat-Bulk).

```
BaZn2Ir
1.0
3.019 -4.266 0.000
3.019 4.266 0.000
-0.543 0.000 3.246
Ba Zn Ir
1 2 1
Direct
0.000 0.000 0.000
0.000 0.500 0.500
0.500 0.000 0.500
0.500 0.500 0.000
```

***

Number 1: formation enthalpy at 0 K 1789 meV per atom. Number 2: formation enthalpy at 0 K -221 meV per atom. Number 3: formation enthalpy at 0 K -57 meV per atom. Number 4: formation enthalpy at 0 K -208 meV per atom. Number 5: formation enthalpy at 0 K -94 meV per atom. Number 6: formation enthalpy at 0 K -204 meV per atom. Number 7: formation enthalpy at 0 K -217 meV per atom. Number 8: formation enthalpy at 0 K -144 meV per atom. Number 9: formation enthalpy at 0 K 28 meV per atom. Number 10: formation enthalpy at 0 K 19 meV per atom. Number 11: formation enthalpy at 0 K 34 meV per atom. Number 12: formation enthalpy at 0 K -37 meV per atom. Number 13: formation enthalpy at 0 K -340 meV per atom. Number 14: formation enthalpy at 0 K -90 meV per atom. Number 15: formation enthalpy at 0 K 37 meV per atom. Number 16: formation enthalpy at 0 K 25 meV per atom. Number 17: formation enthalpy at 0 K -4 meV per atom. Number 18: formation enthalpy at 0 K 942 meV per atom. Number 19: formation enthalpy at 0 K 401 meV per atom. Number 20: formation enthalpy at 0 K 471 meV per atom.